SmH18Br3O18 | meta-GGA SCAN | single point on PBEsol structure

Summary:
DOS(E_F) = 0.000 states/eV/atom
Crystal system = hexagonal
Space-group type = P6_3mc
VASP energy = -7.87 eV/atom

Cell lengths 11.7013, 11.7013, 6.5159 Å; angles 90.00, 90.00, 120.00 degrees
Closest atoms and distances in Å follow each position.
Sites, in units of the cell vectors:
Sm1 0.3333 0.6667 0.0000  9 O 2.40-2.49
Sm2 0.6667 0.3333 0.5000  9 O 2.40-2.49
H1 0.1150 0.3693 0.9862  1 O 0.99
H2 0.1150 0.7457 0.9862  1 O 0.99
H3 0.1230 0.4930 0.3170  1 O 0.99
H4 0.1230 0.6300 0.3170  1 O 0.99
H5 0.1259 0.4951 0.6703  1 O 0.99
H6 0.1259 0.6308 0.6703  1 O 0.99
H7 0.2543 0.3693 0.9862  1 O 0.99
H8 0.2543 0.8850 0.9862  1 O 0.99
H9 0.3693 0.1150 0.4862  1 O 0.99
H10 0.3693 0.2543 0.4862  1 O 0.99
H11 0.3692 0.4951 0.6703  1 O 0.99
H12 0.3692 0.8741 0.6703  1 O 0.99
H13 0.3700 0.4930 0.3170  1 O 0.99
H14 0.3700 0.8770 0.3170  1 O 0.99
H15 0.4930 0.1230 0.8170  1 O 0.99
H16 0.4930 0.3700 0.8170  1 O 0.99
H17 0.4951 0.1259 0.1703  1 O 0.99
H18 0.4951 0.3692 0.1703  1 O 0.99
H19 0.5049 0.6308 0.6703  1 O 0.99
H20 0.5049 0.8741 0.6703  1 O 0.99
H21 0.5070 0.6300 0.3170  1 O 0.99
H22 0.5070 0.8770 0.3170  1 O 0.99
H23 0.6300 0.1230 0.8170  1 O 0.99
H24 0.6300 0.5070 0.8170  1 O 0.99
H25 0.6308 0.1259 0.1703  1 O 0.99
H26 0.6308 0.5049 0.1703  1 O 0.99
H27 0.6307 0.7457 0.9862  1 O 0.99
H28 0.6307 0.8850 0.9862  1 O 0.99
H29 0.7457 0.1150 0.4862  1 O 0.99
H30 0.7457 0.6307 0.4862  1 O 0.99
H31 0.8741 0.3692 0.1703  1 O 0.99
H32 0.8741 0.5049 0.1703  1 O 0.99
H33 0.8770 0.3700 0.8170  1 O 0.99
H34 0.8770 0.5070 0.8170  1 O 0.99
H35 0.8850 0.2543 0.4862  1 O 0.99
H36 0.8850 0.6307 0.4862  1 O 0.99
Br1 0.1297 0.2594 0.4808  3 O 1.65-1.70
Br2 0.1297 0.8703 0.4808  3 O 1.65-1.70
Br3 0.2594 0.1297 0.9808  3 O 1.65-1.70
Br4 0.7406 0.8703 0.4808  3 O 1.65-1.70
Br5 0.8703 0.1297 0.9808  3 O 1.65-1.70
Br6 0.8703 0.7406 0.9808  3 O 1.65-1.70
O1 0.0659 0.3619 0.4918  1 Br 1.70, 3 H 1.75-1.84
O2 0.0659 0.7041 0.4918  1 Br 1.70, 3 H 1.75-1.84
O3 0.0918 0.1835 0.7050  1 Br 1.65
O4 0.0918 0.9082 0.7050  1 Br 1.65
O5 0.1545 0.5772 0.2414  2 H 0.99
O6 0.1561 0.5780 0.7491  2 H 0.99
O7 0.1835 0.0918 0.2050  1 Br 1.65
O8 0.2106 0.4212 0.0172  2 H 0.99
O9 0.2106 0.7894 0.0172  2 H 0.99
O10 0.2959 0.3619 0.4918  1 Br 1.70, 3 H 1.75-1.84
O11 0.2959 0.9341 0.4918  1 Br 1.70, 3 H 1.75-1.84
O12 0.3619 0.0659 0.9918  1 Br 1.70, 3 H 1.75-1.84
O13 0.3619 0.2959 0.9918  1 Br 1.70, 3 H 1.75-1.84
O14 0.4212 0.2106 0.5172  2 H 0.99
O15 0.4220 0.5780 0.7491  2 H 0.99
O16 0.4220 0.8439 0.7491  2 H 0.99
O17 0.4228 0.5772 0.2414  2 H 0.99
O18 0.4228 0.8455 0.2414  2 H 0.99
O19 0.5772 0.1545 0.7414  2 H 0.99
O20 0.5772 0.4228 0.7414  2 H 0.99
O21 0.5780 0.1561 0.2491  2 H 0.99
O22 0.5780 0.4220 0.2491  2 H 0.99
O23 0.5788 0.7894 0.0172  2 H 0.99
O24 0.6381 0.7041 0.4918  1 Br 1.70, 3 H 1.75-1.84
O25 0.6381 0.9341 0.4918  1 Br 1.70, 3 H 1.75-1.84
O26 0.7041 0.0659 0.9918  1 Br 1.70, 3 H 1.75-1.84
O27 0.7041 0.6381 0.9918  1 Br 1.70, 3 H 1.75-1.84
O28 0.7894 0.2106 0.5172  2 H 0.99
O29 0.7894 0.5788 0.5172  2 H 0.99
O30 0.8165 0.9082 0.7050  1 Br 1.65
O31 0.8439 0.4220 0.2491  2 H 0.99
O32 0.8455 0.4228 0.7414  2 H 0.99
O33 0.9082 0.0918 0.2050  1 Br 1.65
O34 0.9082 0.8165 0.2050  1 Br 1.65
O35 0.9341 0.2959 0.9918  1 Br 1.70, 3 H 1.75-1.84
O36 0.9341 0.6381 0.9918  1 Br 1.70, 3 H 1.75-1.84